*1*
5
Lattice="4.607 0.000 0.000 0.000 4.607 0.000 0.000 0.000 3.649" Properties=species:S:1:pos:R:3 comment="PBE-GGA TeRuOF2, relaxed" crystal_system=tetragonal magnetic_moment_mub_per_cell=1.021 pbc="T T T"
Ru 0.000 0.000 0.000
Te 2.303 2.303 1.825
O 0.000 0.000 1.825
F 0.000 2.303 0.000
F 2.303 0.000 0.000

=====

*2*
5
Lattice="-2.038 3.798 -1.837 -4.096 -1.293 1.872 0.879 2.103 3.374" Properties=species:S:1:pos:R:3 comment="PBE-GGA TeRuOF2, relaxed" crystal_system=tetragonal magnetic_moment_mub_per_cell=2.883 pbc="T T T"
Ru -2.628 2.304 1.705
Te 0.000 0.000 0.000
O 0.439 1.052 1.687
F -2.048 -0.646 0.936
F -1.019 1.899 -0.918

=====

*1* is favored, and the nearest alternative lies 480 meV/atom above it.